SrAc2Ag2Sn2, optimized geometry, DFT PBE; symmetry = R-3m; final energy = -26.50 eV for the cell shown; total magnetic moment = 0.00 μB per cell
1.0
2.476 1.429 10.596
-2.476 1.429 10.596
0.000 -2.858 10.596
Sr Ac Ag Sn
1 2 2 2
Cartesian
0.000 0.000 0.000
0.000 0.000 3.989
0.000 0.000 27.800
0.000 0.000 12.655
0.000 0.000 19.134
0.000 0.000 8.343
0.000 0.000 23.446

---

SrAcAgSn, optimized geometry, DFT PBE; symmetry = F-43m; final energy = -14.72 eV for the cell shown; total magnetic moment = 0.00 μB per cell
1.0
0.000 4.016 4.016
4.016 0.000 4.016
4.016 4.016 0.000
Sr Ac Ag Sn
1 1 1 1
Cartesian
0.000 0.000 0.000
4.016 4.016 4.016
6.024 6.024 6.024
2.008 2.008 2.008

---

AcTbAgSn, optimized geometry, DFT PBE; symmetry = F-43m; final energy = -17.38 eV for the cell shown; total magnetic moment = 0.00 μB per cell
1.0
0.000 3.889 3.889
3.889 0.000 3.889
3.889 3.889 0.000
Ac Tb Ag Sn
1 1 1 1
Cartesian
0.000 0.000 0.000
3.889 3.889 3.889
1.945 1.945 1.945
5.834 5.834 5.834

---

Ac2AgSnTe5, optimized geometry, DFT PBE; formation energy from raw total energies = -935 meV/atom; symmetry = Cmc2_1; final energy = -78.38 eV for the cell shown; total magnetic moment = 0.00 μB per cell
1.0
2.265 -9.868 0.000
2.265 9.868 0.000
0.000 0.000 13.550
Ac Ag Sn Te
4 2 2 10
Cartesian
2.265 7.622 6.775
2.265 7.401 1.629
2.265 -7.401 8.403
2.265 -7.622 0.000
2.265 1.230 3.704
2.265 -1.230 10.478
2.265 5.984 11.120
2.265 -5.984 4.345
2.265 8.997 12.035
2.265 4.219 6.510
2.265 3.908 2.057
2.265 2.851 11.006
2.265 0.025 1.232
2.265 -0.025 8.007
2.265 -2.851 4.231
2.265 -3.908 8.832
2.265 -4.219 13.285
2.265 -8.997 5.260

---

AcAgSn2Te4, optimized geometry, DFT PBE; formation energy from raw total energies = -611 meV/atom; symmetry = Cmcm; final energy = -64.83 eV for the cell shown; total magnetic moment = 0.00 μB per cell
1.0
2.274 -7.482 0.000
2.274 7.482 0.000
0.000 0.000 15.742
Ac Ag Sn Te
2 2 4 8
Cartesian
2.274 5.616 11.806
2.274 -5.616 3.935
2.274 5.248 3.935
2.274 -5.248 11.806
2.274 1.906 8.833
2.274 1.906 14.780
2.274 -1.906 0.962
2.274 -1.906 6.909
0.000 0.000 0.000
0.000 0.000 7.871
2.274 3.302 1.861
2.274 3.302 6.010
2.274 0.574 11.806
2.274 -0.574 3.935
2.274 -3.302 9.732
2.274 -3.302 13.881

---

AcThAgSn, optimized geometry, DFT PBE; symmetry = F-43m; final energy = -19.55 eV for the cell shown; total magnetic moment = 0.00 μB per cell
1.0
0.000 3.916 3.916
3.916 0.000 3.916
3.916 3.916 0.000
Ac Th Ag Sn
1 1 1 1
Cartesian
0.000 0.000 0.000
3.916 3.916 3.916
1.958 1.958 1.958
5.874 5.874 5.874

---

AcTlAgSn, optimized geometry, DFT PBE; symmetry = F-43m; final energy = -14.33 eV for the cell shown; total magnetic moment = 0.00 μB per cell
1.0
0.000 3.842 3.842
3.842 0.000 3.842
3.842 3.842 0.000
Ac Tl Ag Sn
1 1 1 1
Cartesian
0.000 0.000 0.000
1.921 1.921 1.921
5.763 5.763 5.763
3.842 3.842 3.842

---

Ac2TlAg4Sn3, optimized geometry, DFT PBE; symmetry = P-4m2; final energy = -37.80 eV for the cell shown; total magnetic moment = 0.00 μB per cell
1.0
4.726 0.000 0.000
0.000 4.726 0.000
0.000 0.000 11.773
Ac Tl Ag Sn
2 1 4 3
Cartesian
0.000 2.363 2.811
2.363 0.000 8.962
0.000 0.000 5.886
0.000 0.000 0.000
0.000 2.363 7.548
2.363 0.000 4.225
2.363 2.363 0.000
0.000 2.363 10.246
2.363 0.000 1.527
2.363 2.363 5.886

---

AcTmAg2Sn2, optimized geometry, DFT PBE; symmetry = P-3m1; final energy = -25.73 eV for the cell shown; total magnetic moment = 0.00 μB per cell
1.0
4.808 0.000 0.000
-2.404 4.164 0.000
0.000 0.000 7.887
Ac Tm Ag Sn
1 1 2 2
Cartesian
0.000 0.000 0.000
0.000 0.000 3.944
0.000 2.776 5.361
2.404 1.388 2.526
0.000 2.776 2.107
2.404 1.388 5.780

---

AcTm2Ag2Sn2, optimized geometry, DFT PBE; symmetry = R-3m; final energy = -30.04 eV for the cell shown; total magnetic moment = 0.00 μB per cell
1.0
2.455 1.417 8.997
-2.455 1.417 8.997
0.000 -2.834 8.997
Ac Tm Ag Sn
1 2 2 2
Cartesian
0.000 0.000 0.000
0.000 0.000 3.664
0.000 0.000 23.327
0.000 0.000 11.970
0.000 0.000 15.021
0.000 0.000 6.949
0.000 0.000 20.042

---

AcTmAgSn, optimized geometry, DFT PBE; symmetry = F-43m; final energy = -17.11 eV for the cell shown; total magnetic moment = 0.00 μB per cell
1.0
0.000 3.864 3.864
3.864 0.000 3.864
3.864 3.864 0.000
Ac Tm Ag Sn
1 1 1 1
Cartesian
0.000 0.000 0.000
3.864 3.864 3.864
1.932 1.932 1.932
5.797 5.797 5.797

---

Ac2TmAg3Sn4, optimized geometry, DFT PBE; symmetry = P-4m2; final energy = -42.19 eV for the cell shown; total magnetic moment = 0.00 μB per cell
1.0
4.738 0.000 0.000
0.000 4.738 0.000
0.000 0.000 12.258
Ac Tm Ag Sn
2 1 3 4
Cartesian
0.000 2.369 2.883
2.369 0.000 9.375
0.000 0.000 6.129
0.000 2.369 10.653
2.369 0.000 1.605
2.369 2.369 6.129
0.000 0.000 0.000
0.000 2.369 7.933
2.369 0.000 4.326
2.369 2.369 0.000

---

Ac2YAg3Sn4, optimized geometry, DFT PBE; symmetry = P-4m2; final energy = -44.26 eV for the cell shown; total magnetic moment = 0.00 μB per cell
1.0
4.747 0.000 0.000
0.000 4.747 0.000
0.000 0.000 12.323
Ac Y Ag Sn
2 1 3 4
Cartesian
0.000 2.374 2.872
2.374 0.000 9.451
0.000 0.000 6.161
0.000 2.374 10.724
2.374 0.000 1.599
2.374 2.374 6.161
0.000 0.000 0.000
0.000 2.374 8.003
2.374 0.000 4.320
2.374 2.374 0.000

---

Ac2ZnAg3Sn4, optimized geometry, DFT PBE; symmetry = P-4m2; final energy = -38.36 eV for the cell shown; total magnetic moment = 0.00 μB per cell
1.0
4.675 0.000 0.000
0.000 4.675 0.000
0.000 0.000 11.782
Ac Zn Ag Sn
2 1 3 4
Cartesian
0.000 2.338 2.834
2.338 0.000 8.948
2.338 2.338 0.000
0.000 0.000 0.000
0.000 2.338 7.545
2.338 0.000 4.238
0.000 0.000 5.891
0.000 2.338 10.249
2.338 0.000 1.533
2.338 2.338 5.891

---

AcZnAgSn2, optimized geometry, DFT PBE; symmetry = I-4m2; final energy = -18.16 eV for the cell shown; total magnetic moment = 0.00 μB per cell
1.0
-2.351 2.351 5.833
2.351 -2.351 5.833
2.351 2.351 -5.833
Ac Zn Ag Sn
1 1 1 2
Cartesian
0.000 0.000 0.000
0.000 2.351 2.916
2.351 0.000 2.916
0.000 0.000 4.400
0.000 0.000 7.265

---

Ac2Zn3AgSn4, optimized geometry, DFT PBE; symmetry = P-4m2; final energy = -34.99 eV for the cell shown; total magnetic moment = 0.00 μB per cell
1.0
4.779 0.000 0.000
0.000 4.779 0.000
0.000 0.000 11.069
Ac Zn Ag Sn
2 3 1 4
Cartesian
0.000 2.390 2.711
2.390 0.000 8.357
0.000 0.000 0.000
0.000 2.390 6.981
2.390 0.000 4.088
2.390 2.390 0.000
0.000 0.000 5.534
0.000 2.390 9.593
2.390 0.000 1.475
2.390 2.390 5.534

---

Ac2Zn4Ag3Sn, optimized geometry, DFT PBE; symmetry = P-4m2; final energy = -28.83 eV for the cell shown; total magnetic moment = 0.00 μB per cell
1.0
4.501 0.000 0.000
0.000 4.501 0.000
0.000 0.000 11.350
Ac Zn Ag Sn
2 4 3 1
Cartesian
0.000 2.251 2.766
2.251 0.000 8.584
0.000 0.000 0.000
0.000 2.251 7.272
2.251 0.000 4.078
2.251 2.251 0.000
0.000 2.251 9.884
2.251 0.000 1.466
2.251 2.251 5.675
0.000 0.000 5.675

---

AcZnAgSn, optimized geometry, DFT PBE; symmetry = F-43m; final energy = -13.53 eV for the cell shown; total magnetic moment = 0.00 μB per cell
1.0
0.000 3.690 3.690
3.690 0.000 3.690
3.690 3.690 0.000
Ac Zn Ag Sn
1 1 1 1
Cartesian
0.000 0.000 0.000
1.845 1.845 1.845
5.535 5.535 5.535
3.690 3.690 3.690

---

SrAc4Ag5, optimized geometry, DFT PBE; symmetry = P4/mmm; final energy = -35.00 eV for the cell shown; total magnetic moment = 0.00 μB per cell
1.0
3.941 0.000 0.000
0.000 3.941 0.000
0.000 0.000 20.011
Sr Ac Ag
1 4 5
Cartesian
0.000 0.000 0.000
0.000 0.000 3.990
0.000 0.000 8.011
0.000 0.000 12.001
0.000 0.000 16.022
1.971 1.971 2.078
1.971 1.971 5.991
1.971 1.971 10.006
1.971 1.971 14.020
1.971 1.971 17.934

---

SrAcAg10, optimized geometry, DFT PBE; symmetry = Pmmm; final energy = -36.32 eV for the cell shown; total magnetic moment = 0.00 μB per cell
1.0
4.715 0.000 0.000
0.000 5.759 0.000
0.000 0.000 9.922
Sr Ac Ag
1 1 10
Cartesian
0.000 0.000 0.000
0.000 2.879 4.961
0.000 0.000 3.299
0.000 0.000 6.623
0.000 2.879 1.636
0.000 2.879 8.287
2.358 0.000 4.961
2.358 1.448 2.496
2.358 1.448 7.427
2.358 2.879 0.000
2.358 4.310 2.496
2.358 4.310 7.427